Pm3Nd2Hg2: relaxed, GGA-PBE.

## Properties
- DFT total energy: -26.0 eV/f.u.
- Energy relative to the elements: -0.2356 eV/atom
- Fermi-level density of states: 7.840 states/eV/f.u.
- Offset from the most stable computed form: 0.00 kcal/mol of atoms
- SG: C2/m, No. 12

Cell lengths 7.000, 7.000, 9.570 Å; angles 114.14, 114.14, 31.93 degrees
Sites, in units of the cell vectors:
Pm1 0.000 0.000 0.000
Pm2 0.110 0.110 0.445
Pm3 0.890 0.890 0.555
Nd1 0.355 0.355 0.189
Nd2 0.645 0.645 0.811
Hg1 0.325 0.325 0.773
Hg2 0.675 0.675 0.227